The following is a DFT calculation (PBE) of an optimized crystal structure of Ti5Sb2Mo.

The structure belongs to space group Cmcm (No. 63); the cell edges are 4.5432, 12.7790 and 11.5857 Å and the angles 90.00°, 90.00° and 90.00°. Symmetry generates all atoms from Ti at (0.0000, 0.0938, 0.1204), Ti at (0.0000, 0.3158, 0.5108), Ti at (0.0000, 0.3470, 0.7500), Sb at (0.0000, 0.1236, 0.6201) and Mo at (0.0000, 0.2600, 0.2500).

As for the total energy: -7.18 eV/atom. For the formation energy without anion corrections, the calculation gives 0.14 eV/atom. The value obtained for the density of states at the Fermi level is 1.1863 states/eV per atom.

The following is a DFT calculation (PBE) of an optimized crystal structure of Ti2SbMo.

The structure belongs to space group P4/mmm (No. 123); the cell edges are 4.3276, 4.3276 and 3.6735 Å and the angles 90.00°, 90.00° and 90.00°. Symmetry generates all atoms from Ti at (0.0000, 0.5000, 0.0000), Sb at (0.0000, 0.0000, 0.5000) and Mo at (0.5000, 0.5000, 0.5000).

As for the total energy: -7.97 eV/atom. For the formation energy without anion corrections, the calculation gives -0.29 eV/atom. The value obtained for the density of states at the Fermi level is 1.1056 states/eV per atom.

The following is a DFT calculation (PBE) of an optimized crystal structure of Ti2SbMo.

The structure belongs to space group P4/mmm (No. 123); the cell edges are 3.4503, 3.4503 and 5.8505 Å and the angles 90.00°, 90.00° and 90.00°. Symmetry generates all atoms from Ti at (0.0000, 0.0000, 0.2363), Sb at (0.5000, 0.5000, 0.5000) and Mo at (0.5000, 0.5000, 0.0000).

As for the total energy: -8.01 eV/atom. For the formation energy without anion corrections, the calculation gives -0.33 eV/atom. The value obtained for the density of states at the Fermi level is 0.7483 states/eV per atom.

The following is a DFT calculation (PBE) of an optimized crystal structure of Ti2SbMo.

The structure belongs to space group I-42d (No. 122); the cell edges are 4.0178, 4.0178 and 19.0231 Å and the angles 90.00°, 90.00° and 90.00°. Symmetry generates all atoms from Ti at (0.2491, 0.2500, 0.1250), Sb at (0.0000, 0.0000, 0.5000) and Mo at (0.0000, 0.0000, 0.0000).

As for the total energy: -7.29 eV/atom. For the formation energy without anion corrections, the calculation gives 0.39 eV/atom. The value obtained for the density of states at the Fermi level is 1.4454 states/eV per atom.

The following is a DFT calculation (PBE) of an optimized crystal structure of Ti8Sb2Mo.

The structure belongs to space group Immm (No. 71); the cell edges are 4.6783, 6.2626 and 13.5203 Å and the angles 90.00°, 90.00° and 90.00°. Symmetry generates all atoms from Ti at (0.0000, 0.0000, 0.1704), Ti at (0.0000, 0.2418, 0.3597), Ti at (0.0000, 0.2500, 0.0000), Sb at (0.0000, 0.5000, 0.1838) and Mo at (0.0000, 0.5000, 0.5000).

As for the total energy: -7.72 eV/atom. For the formation energy without anion corrections, the calculation gives -0.24 eV/atom. The value obtained for the density of states at the Fermi level is 0.6966 states/eV per atom.

The following is a DFT calculation (PBE) of an optimized crystal structure of TiSb3Mo.

The structure belongs to space group Pm-3m (No. 221); the cell edges are 5.2348, 5.2348 and 5.2348 Å and the angles 90.00°, 90.00° and 90.00°. Symmetry generates all atoms from Ti at (0.0000, 0.0000, 0.0000), Sb at (0.0000, 0.5000, 0.5000) and Mo at (0.5000, 0.5000, 0.5000).

As for the total energy: -5.39 eV/atom. For the formation energy without anion corrections, the calculation gives 0.83 eV/atom. The value obtained for the density of states at the Fermi level is 6.5505 states/eV per atom.